No. 1
First-principles (PBE) data for an optimized crystal structure of NpTcC, as listed in the Alexandria database.

POSCAR file:
```
NpTcC
1.0
-1.394 1.772 2.684
2.295 -2.580 0.606
2.961 2.594 -0.174
Np C Tc
1 1 1
direct
0.667 0.333 0.366
0.333 0.667 0.675
0.000 0.000 0.959
```

Values from the calculation:
total moment: 0.0 Bohr magnetons per cell
offset from the most stable computed form: 0.2516 eV/atom
DFT total energy: -31.05 eV per cell
energy relative to the elements: 493 meV per atom

No. 2
First-principles (PBE) data for an optimized crystal structure of Na2LiCaFe, as listed in the Alexandria database.

POSCAR file:
```
Na2LiCaFe
1.0
5.617 0.000 0.000
0.000 5.405 0.000
0.000 0.000 5.617
Li Na Ca Fe
1 2 1 1
direct
0.500 0.500 0.500
0.000 0.000 0.500
0.500 0.000 0.000
0.000 0.500 0.000
0.000 0.000 0.000
```

Values from the calculation:
total moment: 2.3 Bohr magnetons per cell
DFT total energy: -11.66 eV per cell
energy relative to the elements: 670 meV per atom

No. 3
First-principles (PBE) data for an optimized crystal structure of CuIO2, as listed in the Alexandria database.

POSCAR file:
```
CuIO2
1.0
1.889 0.000 6.097
-0.945 1.636 6.097
-0.945 -1.636 6.097
O I Cu
2 1 1
direct
0.114 0.114 0.114
0.886 0.886 0.886
0.000 0.000 0.000
0.500 0.500 0.500
```

Values from the calculation:
total moment: 0.5 Bohr magnetons per cell
DFT total energy: -16.26 eV per cell
energy relative to the elements, uncorrected: -68 kJ/mol of formula units

No. 4
First-principles (PBE) data for an optimized crystal structure of TlPd3Pt, as listed in the Alexandria database.

POSCAR file:
```
TlPd3Pt
1.0
6.233 0.000 0.000
0.000 6.204 -0.013
0.000 -0.804 9.096
Pd Pt Tl
12 4 4
direct
0.849 0.441 0.882
0.430 0.332 0.388
0.930 0.168 0.112
0.252 0.733 0.399
0.151 0.559 0.118
0.349 0.059 0.618
0.070 0.832 0.888
0.570 0.668 0.612
0.651 0.941 0.382
0.248 0.233 0.899
0.752 0.767 0.101
0.748 0.267 0.601
0.951 0.872 0.607
0.549 0.372 0.107
0.451 0.628 0.893
0.049 0.128 0.393
0.339 0.974 0.154
0.161 0.474 0.654
0.661 0.026 0.846
0.839 0.526 0.346
```

Values from the calculation:
total moment: 0.0 Bohr magnetons per cell
offset from the most stable computed form: 0.1308 eV/atom
DFT total energy: -95.97 eV per cell
energy relative to the elements: -2 meV per atom

No. 5
First-principles (PBE) data for an optimized crystal structure of CdPCl2, as listed in the Alexandria database.

POSCAR file:
```
CdPCl2
1.0
1.861 0.000 9.507
-0.930 1.611 9.507
-0.930 -1.611 9.507
P Cd Cl
1 1 2
direct
0.500 0.500 0.500
0.000 0.000 0.000
0.903 0.903 0.903
0.097 0.097 0.097
```

Values from the calculation:
total moment: 0.0 Bohr magnetons per cell
offset from the most stable computed form: 0.6321 eV/atom
DFT total energy: -9.07 eV per cell
energy relative to the elements, uncorrected: 92 kJ/mol of formula units

No. 6
First-principles (PBE) data for an optimized crystal structure of Ac3Sb2O, as listed in the Alexandria database.

POSCAR file:
```
Ac3Sb2O
1.0
-0.243 4.577 0.656
-7.717 0.352 -5.309
-10.380 -2.687 14.908
O Sb Ac
4 8 12
direct
0.750 0.130 0.137
0.250 0.870 0.863
0.250 0.370 0.637
0.750 0.630 0.363
0.750 0.259 0.455
0.250 0.241 0.955
0.250 0.409 0.212
0.250 0.741 0.545
0.250 0.909 0.288
0.750 0.591 0.788
0.750 0.759 0.045
0.750 0.091 0.712
0.250 0.143 0.572
0.750 0.170 0.270
0.750 0.357 0.072
0.250 0.015 0.106
0.750 0.485 0.606
0.250 0.330 0.770
0.750 0.985 0.894
0.250 0.515 0.394
0.750 0.857 0.428
0.750 0.670 0.230
0.250 0.643 0.928
0.250 0.830 0.730
```

Values from the calculation:
total moment: 0.0 Bohr magnetons per cell
offset from the most stable computed form: 0.0000 eV/atom
DFT total energy: -143.63 eV per cell
energy relative to the elements, uncorrected: -1001 kJ/mol of formula units

No. 7
First-principles (PBE) data for an optimized crystal structure of NiIr, as listed in the Alexandria database.

POSCAR file:
```
NiIr
1.0
3.772 0.000 0.000
1.886 3.267 0.000
1.886 1.089 3.080
Ni Ir
1 1
direct
0.750 0.750 0.750
0.000 0.000 0.000
```

Values from the calculation:
total moment: 1.6 Bohr magnetons per cell
DFT total energy: -11.96 eV per cell
energy relative to the elements: 1340 meV per atom

No. 8
First-principles (PBE) data for an optimized crystal structure of LiPu2Rh, as listed in the Alexandria database.

POSCAR file:
```
LiPu2Rh
1.0
2.971 0.000 0.000
1.486 2.573 0.000
1.486 0.858 10.532
Pu Rh Li
2 1 1
direct
0.257 0.257 0.229
0.743 0.743 0.771
0.000 0.000 0.000
0.500 0.500 0.500
```

Values from the calculation:
total moment: 9.9 Bohr magnetons per cell
DFT total energy: -37.31 eV per cell
energy relative to the elements: 155 meV per atom

No. 9
First-principles (PBE) data for an optimized crystal structure of RbLiMg14O15, as listed in the Alexandria database.

POSCAR file:
```
RbLiMg14O15
1.0
-0.466 4.095 -0.108
-4.879 -0.730 -6.668
-8.140 -0.767 6.041
O Li Mg Rb
15 1 14 1
direct
0.500 0.500 0.513
0.500 0.000 0.457
0.000 0.239 0.494
0.500 0.500 0.926
0.500 0.729 0.220
0.000 0.207 0.943
0.500 0.271 0.220
0.500 0.212 0.728
0.000 0.793 0.943
0.000 0.500 0.709
0.000 0.000 0.255
0.000 0.761 0.494
0.500 0.788 0.728
0.500 0.000 0.023
0.000 0.500 0.311
0.000 0.000 0.030
0.000 0.271 0.761
0.500 0.251 0.999
0.500 0.229 0.528
0.500 0.000 0.828
0.000 0.747 0.281
0.500 0.500 0.735
0.000 0.000 0.457
0.000 0.729 0.761
0.000 0.500 0.510
0.500 0.771 0.528
0.500 0.500 0.304
0.500 0.749 0.999
0.500 0.000 0.226
0.000 0.253 0.281
0.000 0.500 0.056
```

Values from the calculation:
total moment: 0.0 Bohr magnetons per cell
offset from the most stable computed form: 0.0349 eV/atom
DFT total energy: -172.34 eV per cell
energy relative to the elements, uncorrected: -7020 kJ/mol of formula units

No. 10
First-principles (PBE) data for an optimized crystal structure of PmHoPd4, as listed in the Alexandria database.

POSCAR file:
```
PmHoPd4
1.0
5.472 0.000 0.000
2.736 4.739 0.000
2.736 1.580 4.468
Pd Pm Ho
4 1 1
direct
0.625 0.124 0.625
0.625 0.625 0.124
0.625 0.625 0.625
0.124 0.625 0.625
0.250 0.250 0.250
0.000 0.000 0.000
```

Values from the calculation:
total moment: 0.0 Bohr magnetons per cell
offset from the most stable computed form: 0.0000 eV/atom
DFT total energy: -34.87 eV per cell
energy relative to the elements: -796 meV per atom

No. 11
First-principles (PBE) data for an optimized crystal structure of Li6Sn5Ge, as listed in the Alexandria database.

POSCAR file:
```
Li6Sn5Ge
1.0
4.175 0.014 -1.159
-2.928 7.105 -2.502
0.032 0.174 8.079
Sn Li Ge
5 6 1
direct
0.000 0.331 0.669
0.500 0.841 0.159
0.500 0.500 0.500
0.000 0.669 0.331
0.500 0.159 0.841
0.251 0.752 0.752
0.247 0.410 0.084
0.247 0.084 0.410
0.749 0.248 0.248
0.753 0.590 0.916
0.753 0.916 0.590
0.000 0.000 0.000
```

Values from the calculation:
total moment: 0.0 Bohr magnetons per cell
DFT total energy: -39.81 eV per cell
energy relative to the elements: -308 meV per atom

No. 12
First-principles (PBE) data for an optimized crystal structure of TmHfTl2, as listed in the Alexandria database.

POSCAR file:
```
TmHfTl2
1.0
5.172 0.000 0.000
2.586 4.479 0.000
2.586 1.493 4.223
Hf Tm Tl
1 1 2
direct
0.000 0.000 0.000
0.500 0.500 0.500
0.250 0.250 0.250
0.750 0.750 0.750
```

Values from the calculation:
total moment: 0.0 Bohr magnetons per cell
offset from the most stable computed form: 0.0412 eV/atom
DFT total energy: -19.06 eV per cell
energy relative to the elements: 24 meV per atom

No. 13
First-principles (PBE) data for an optimized crystal structure of CsBaZn2H6, as listed in the Alexandria database.

POSCAR file:
```
CsBaZn2H6
1.0
-5.180 -4.886 2.220
-0.347 -1.383 -7.322
6.896 -2.951 2.410
H Zn Ba Cs
12 4 2 2
direct
0.550 0.346 0.892
0.766 0.798 0.878
0.654 0.450 0.608
0.234 0.202 0.122
0.202 0.234 0.622
0.950 0.396 0.192
0.450 0.654 0.108
0.050 0.604 0.808
0.604 0.050 0.308
0.346 0.550 0.392
0.396 0.950 0.692
0.798 0.766 0.378
0.834 0.632 0.743
0.368 0.166 0.757
0.632 0.834 0.243
0.166 0.368 0.257
0.389 0.611 0.750
0.611 0.389 0.250
0.141 0.859 0.250
0.859 0.141 0.750
```

Values from the calculation:
total moment: 0.0 Bohr magnetons per cell
DFT total energy: -53.89 eV per cell

No. 14
First-principles (PBE) data for an optimized crystal structure of Y2Ga3Ni12Ir, as listed in the Alexandria database.

POSCAR file:
```
Y2Ga3Ni12Ir
1.0
-2.464 -1.845 8.839
-3.692 -6.642 5.463
1.932 -5.596 7.249
Ga Ni Y Ir
3 12 2 1
direct
0.000 0.000 0.500
0.000 0.500 0.000
0.500 0.000 0.000
0.369 0.920 0.920
0.080 0.080 0.631
0.417 0.810 0.417
0.631 0.080 0.080
0.920 0.920 0.369
0.920 0.369 0.920
0.190 0.583 0.583
0.417 0.417 0.810
0.583 0.583 0.190
0.810 0.417 0.417
0.080 0.631 0.080
0.583 0.190 0.583
0.352 0.352 0.352
0.648 0.648 0.648
0.000 0.000 0.000
```

Values from the calculation:
total moment: 0.0 Bohr magnetons per cell
DFT total energy: -100.18 eV per cell
energy relative to the elements: 4 meV per atom

No. 15
First-principles (PBE) data for an optimized crystal structure of Rb2CrSiBr6, as listed in the Alexandria database.

POSCAR file:
```
Rb2CrSiBr6
1.0
7.611 0.000 0.000
0.000 7.611 0.000
3.806 3.806 5.386
Rb Br Cr Si
2 6 1 1
direct
0.250 0.750 0.500
0.750 0.250 0.500
0.247 0.247 0.000
0.753 0.247 0.000
0.753 0.753 0.493
0.247 0.753 0.000
0.753 0.753 0.000
0.247 0.247 0.507
0.000 0.000 0.000
0.500 0.500 0.000
```

Values from the calculation:
total moment: 4.0 Bohr magnetons per cell
DFT total energy: -36.81 eV per cell
energy relative to the elements, uncorrected: -945 kJ/mol of formula units

No. 16
First-principles (PBE) data for an optimized crystal structure of Tc2OsSe, as listed in the Alexandria database.

POSCAR file:
```
Tc2OsSe
1.0
-3.498 -1.146 2.399
0.495 -1.078 4.230
-1.486 2.689 3.141
Os Tc Se
1 2 1
direct
0.500 0.500 0.500
0.750 0.750 0.750
0.000 0.000 0.000
0.250 0.250 0.250
```

Values from the calculation:
total moment: 0.0 Bohr magnetons per cell
DFT total energy: -33.08 eV per cell
energy relative to the elements, uncorrected: 228 kJ/mol of formula units

No. 17
First-principles (PBE) data for an optimized crystal structure of NaGa2Ag, as listed in the Alexandria database.

POSCAR file:
```
NaGa2Ag
1.0
4.423 0.000 0.000
0.000 4.173 0.000
0.000 0.000 4.173
Na Ga Ag
1 2 1
direct
0.500 0.500 0.500
0.000 0.500 0.000
0.000 0.000 0.500
0.500 0.000 0.000
```

Values from the calculation:
total moment: 0.0 Bohr magnetons per cell
DFT total energy: -10.24 eV per cell
energy relative to the elements: -3 meV per atom

No. 18
First-principles (PBE) data for an optimized crystal structure of CdTeAs2, as listed in the Alexandria database.

POSCAR file:
```
CdTeAs2
1.0
-3.560 1.582 -1.064
-0.166 -1.903 -2.275
-3.720 -4.288 6.070
As Te Cd
2 1 1
direct
0.000 0.613 0.486
0.000 0.887 0.014
0.500 0.750 0.750
0.500 0.250 0.250
```

Values from the calculation:
total moment: 0.0 Bohr magnetons per cell
offset from the most stable computed form: 0.2037 eV/atom
DFT total energy: -12.77 eV per cell
energy relative to the elements, uncorrected: 57 kJ/mol of formula units

No. 19
First-principles (PBE) data for an optimized crystal structure of CsLi3Sn, as listed in the Alexandria database.

POSCAR file:
```
CsLi3Sn
1.0
5.233 0.000 0.000
0.000 5.233 0.000
0.000 0.000 5.233
Li Sn Cs
3 1 1
direct
0.000 0.500 0.000
0.000 0.000 0.500
0.500 0.000 0.000
0.500 0.500 0.500
0.000 0.000 0.000
```

Values from the calculation:
total moment: 0.0 Bohr magnetons per cell
offset from the most stable computed form: 0.9622 eV/atom
DFT total energy: -6.86 eV per cell
energy relative to the elements: 747 meV per atom

No. 20
First-principles (PBE) data for an optimized crystal structure of Sr3BMo, as listed in the Alexandria database.

POSCAR file:
```
Sr3BMo
1.0
5.619 0.000 0.000
0.000 5.619 0.000
0.000 0.000 5.619
Sr Mo B
3 1 1
direct
0.000 0.500 0.000
0.000 0.000 0.500
0.500 0.000 0.000
0.500 0.500 0.500
0.000 0.000 0.000
```

Values from the calculation:
total moment: 3.7 Bohr magnetons per cell
offset from the most stable computed form: 0.0000 eV/atom
DFT total energy: -17.29 eV per cell
energy relative to the elements: 1053 meV per atom